The following is a DFT calculation (PBE) of an optimized crystal structure of Np2Si4Ir3Os.

Unit cell a=4.163 b=4.163 c=9.737 alpha=90.00 beta=90.00 gamma=90.00
Space group P-4m2 (No. 115)
Inequivalent atoms, fractional coordinates:
Np  0.000  0.500  0.248 (multiplicity 2)
Si  0.000  0.000  0.000 (multiplicity 1)
Si  0.000  0.500  0.628 (multiplicity 2)
Si  0.500  0.500  0.000 (multiplicity 1)
Ir  0.000  0.500  0.872 (multiplicity 2)
Ir  0.500  0.500  0.500 (multiplicity 1)
Os  0.000  0.000  0.500 (multiplicity 1)

Fermi-level density of states in states/eV per cell: 20.72
Final energy in eV/atom: -9.202
E_form (uncorrected) in eV/atom: -0.66
Mass density in g cm⁻³: 13.3


The following is a DFT calculation (PBE) of an optimized crystal structure of AcGaBr6.

Unit cell a=7.085 b=12.835 c=6.977 alpha=90.00 beta=106.11 gamma=90.00
Space group C2/m (No. 12)
Inequivalent atoms, fractional coordinates:
Ac  0.000  0.000  0.000 (multiplicity 2)
Ga  0.000  0.500  0.500 (multiplicity 2)
Br  0.204  0.355  0.715 (multiplicity 8)
Br  0.240  0.500  0.272 (multiplicity 4)

Fermi-level density of states in states/eV per cell: 0.00
Final energy in eV/atom: -3.426
E_form (uncorrected) in eV/atom: -1.28
Mass density in g cm⁻³: 4.2


The following is a DFT calculation (PBE) of an optimized crystal structure of V8SbC2.

Unit cell a=13.720 b=4.864 c=4.409 alpha=90.00 beta=108.00 gamma=90.00
Space group C2/m (No. 12)
Inequivalent atoms, fractional coordinates:
V  0.098  0.249  0.103 (multiplicity 8)
V  0.120  0.000  0.626 (multiplicity 4)
V  0.228  0.500  0.728 (multiplicity 4)
Sb  0.000  0.500  0.500 (multiplicity 2)
C  0.229  0.500  0.230 (multiplicity 4)

Fermi-level density of states in states/eV per cell: 17.13
Final energy in eV/atom: -8.650
E_form (uncorrected) in eV/atom: 0.03
Mass density in g cm⁻³: 6.6


The following is a DFT calculation (PBE) of an optimized crystal structure of Pa2AlGe2Ru5.

Unit cell a=9.822 b=9.822 c=3.524 alpha=90.00 beta=90.00 gamma=90.00
Space group P4/mbm (No. 127)
Inequivalent atoms, fractional coordinates:
Pa  0.175  0.325  0.000 (multiplicity 4)
Al  0.000  0.000  0.000 (multiplicity 2)
Ge  0.124  0.624  0.000 (multiplicity 4)
Ru  0.000  0.500  0.500 (multiplicity 2)
Ru  0.078  0.796  0.500 (multiplicity 8)

ΔH_f (0 K) in eV per formula unit: -4.73
Fermi-level density of states in states/eV per cell: 7.39
Final energy in eV/atom: -8.308
Mass density in g cm⁻³: 11.1